Computed, not measured: a geometry-optimized NaGe3O structure at the GGA-PBE level of DFT.

## Properties
- SG: Pm-3m (221)
- ΔE_f (raw): 1.4084 eV per atom
- Size of the total moment: 0.00 μB/cell

abc: 4.992 4.992 4.992
angles: 90.00 90.00 90.00
Atoms (fractional coordinates):
Na 0.000 0.000 0.000
Ge 0.000 0.000 0.500
Ge 0.000 0.500 0.000
Ge 0.500 0.000 0.000
O 0.500 0.500 0.500

Computed, not measured: a geometry-optimized TeAsN2 structure at the GGA-PBE level of DFT.

## Properties
- SG: I-42d (122)
- ΔE_f (raw): 1.0908 eV per atom
- Size of the total moment: 0.00 μB/cell

abc: 5.780 5.780 5.780
angles: 124.05 124.05 83.12
Atoms (fractional coordinates):
Te 0.000 0.000 0.000
Te 0.750 0.250 0.500
As 0.250 0.750 0.500
As 0.500 0.500 0.000
N 0.236 0.625 0.111
N 0.375 0.486 0.611
N 0.514 0.125 0.889
N 0.875 0.764 0.389

Computed, not measured: a geometry-optimized Y12Al6In structure at the GGA-PBE level of DFT.

## Properties
- SG: Im-3 (204)
- Size of the total moment: 0.00 μB/cell
- Energy of formation from the pure elements: -246 meV/atom

abc: 8.813 8.813 8.813
angles: 109.47 109.47 109.47
Atoms (fractional coordinates):
Y 0.099 0.812 0.287
Y 0.188 0.287 0.476
Y 0.188 0.713 0.901
Y 0.287 0.099 0.812
Y 0.287 0.476 0.188
Y 0.476 0.188 0.287
Y 0.524 0.812 0.713
Y 0.713 0.524 0.812
Y 0.713 0.901 0.188
Y 0.812 0.287 0.099
Y 0.812 0.713 0.524
Y 0.901 0.188 0.713
Al 0.124 0.624 0.500
Al 0.376 0.500 0.876
Al 0.500 0.124 0.624
Al 0.500 0.876 0.376
Al 0.624 0.500 0.124
Al 0.876 0.376 0.500
In 0.000 0.000 0.000